# 1
A plane-wave DFT calculation with PBE-GGA was carried out for a geometry-optimized NaDy2Ni structure.

Lattice parameters (Å, degrees): 3.8996 3.8996 30.6145 90.00 90.00 120.00
Positions (direct):
Na: 0.0000 0.0000 0.0000
Na: 0.3333 0.6667 0.6667
Na: 0.6667 0.3333 0.3333
Dy: 0.0000 0.0000 0.1201
Dy: 0.0000 0.0000 0.8799
Dy: 0.3333 0.6667 0.5466
Dy: 0.3333 0.6667 0.7868
Dy: 0.6667 0.3333 0.2132
Dy: 0.6667 0.3333 0.4534
Ni: 0.0000 0.0000 0.5000
Ni: 0.3333 0.6667 0.1667
Ni: 0.6667 0.3333 0.8333

Output
As for the total energy: -0.1507 hartree per atom. The calculation puts the formation energy at -0.023 eV per atom. The symmetry is R-3m (166).



# 2
A plane-wave DFT calculation with PBE-GGA was carried out for a geometry-optimized NaDy2Ni structure.

Lattice parameters (Å, degrees): 3.3707 3.3707 9.5123 90.00 90.00 90.00
Positions (direct):
Na: 0.0000 0.0000 0.0000
Dy: 0.5000 0.5000 0.3305
Dy: 0.5000 0.5000 0.6695
Ni: 0.0000 0.0000 0.5000

Output
As for the total energy: -0.1538 hartree per atom. The calculation puts the formation energy at -0.108 eV per atom. The symmetry is P4/mmm (123).



# 3
A plane-wave DFT calculation with PBE-GGA was carried out for a geometry-optimized Na2Dy2NpO6 structure.

Lattice parameters (Å, degrees): 6.0063 6.0063 5.9370 99.20 99.20 120.22
Positions (direct):
Na: 0.1710 0.8290 0.0000
Na: 0.8290 0.1710 0.0000
Dy: 0.3342 0.6658 0.5000
Dy: 0.6658 0.3342 0.5000
Np: 0.0000 0.0000 0.5000
O: 0.0512 0.3924 0.6992
O: 0.2502 0.2502 0.3050
O: 0.3924 0.0512 0.6992
O: 0.6076 0.9488 0.3008
O: 0.7498 0.7498 0.6950
O: 0.9488 0.6076 0.3008

Output
As for the total energy: -0.2849 hartree per atom. For the uncorrected formation energy, the calculation gives -2794 meV per atom. The symmetry is C2/m (12).